Record 1
Here is ThSiN after structural relaxation from the Alexandria database. Energies are from PBE.

The structure in CIF format:
```
data_ThSiN
_chemical_formula_sum 'Th4 Si4 N4'
_space_group_name_H-M_alt 'C m c m'
_space_group_IT_number 63
_space_group_name_Hall '-C 2c 2'
_cell_length_a 4.190
_cell_length_b 13.825
_cell_length_c 4.061
_cell_angle_alpha 90.00
_cell_angle_beta 90.00
_cell_angle_gamma 90.00
loop_
_atom_site_label
_atom_site_type_symbol
_atom_site_fract_x
_atom_site_fract_y
_atom_site_fract_z
_atom_site_occupancy
Th1 Th 0.000 0.168 0.250 1
Si1 Si 0.000 0.458 0.250 1
N1 N 0.000 0.251 0.750 1
```

D(E_F): 0.290 states/eV/atom
Final energy: -97.6 eV for the cell shown
Magnetization: 0.00 μB per cell
V: 19.6 Å³ per atom
Formation energy from raw total energies: -1.076 eV per atom
Crystal system: orthorhombic


Record 2
Here is ThSiN after structural relaxation from the Alexandria database. Energies are from PBE.

The structure in CIF format:
```
data_ThSiN
_chemical_formula_sum 'Th4 Si4 N4'
_space_group_name_H-M_alt 'C m m e'
_space_group_IT_number 67
_space_group_name_Hall '-C 2a 2'
_cell_length_a 4.871
_cell_length_b 5.070
_cell_length_c 8.613
_cell_angle_alpha 90.00
_cell_angle_beta 90.00
_cell_angle_gamma 90.00
loop_
_atom_site_label
_atom_site_type_symbol
_atom_site_fract_x
_atom_site_fract_y
_atom_site_fract_z
_atom_site_occupancy
Th1 Th 0.000 0.250 0.167 1
Si1 Si 0.250 0.000 0.500 1
N1 N 0.000 0.250 0.889 1
```

D(E_F): 0.550 states/eV/atom
Final energy: -96.8 eV for the cell shown
Magnetization: 0.00 μB per cell
V: 17.7 Å³ per atom
Formation energy from raw total energies: -1.013 eV per atom
Crystal system: orthorhombic